The following is a DFT calculation (PBE with a Hubbard U) of a relaxed PrVAs2O8 crystal.

Unit cell a=7.203 b=7.203 c=6.245 alpha=90.00 beta=90.00 gamma=90.00
Space group I-4m2 (No. 119)
Symmetry-distinct sites (fractional):
Pr1 0.000 0.000 0.000 x2
V1 0.000 0.500 0.750 x2
As1 0.000 0.000 0.500 x2
As2 0.000 0.500 0.250 x2
O1 0.000 0.189 0.671 x8
O2 0.000 0.328 0.059 x8

Values from the calculation:
M_tot: 4.000 μB per cell
Crystal system: tetragonal
Electronic total energy: -165.55 eV/cell